A relaxed PRu2F crystal. Source: the Alexandria database, functional PBE-GGA.

Calculated values
SG: I-42d, No. 122
V in Å³/f.u.: 67.2
E above lowest polymorph in meV per atom: 325
ΔE_f (raw) in eV per atom: -0.01
Magnetic moment in μB per formula unit: 0.00

Cell: 6.2938 6.2938 6.2938 Å, 132.13 132.13 70.03°
Last column: nearest neighbours and their distance in Å.
Positions (direct):
P: 0.0000 0.0000 0.0000  4 Ru 2.17
P: 0.7500 0.2500 0.5000  4 Ru 2.17
Ru: 0.1065 0.6250 0.9815  2 P 2.17, 2 F 2.27
Ru: 0.3750 0.3565 0.4815  2 P 2.17, 2 F 2.27
Ru: 0.6435 0.1250 0.0185  2 P 2.17, 2 F 2.27
Ru: 0.8750 0.8935 0.5185  2 P 2.17, 2 F 2.27
F: 0.2500 0.7500 0.5000  4 Ru 2.27
F: 0.5000 0.5000 0.0000  4 Ru 2.27